Record 1
ScAsPb2 (PBE-GGA, relaxed); theoretical density = 8.74 g/cm3; ΔE_f = 126 meV per atom; crystal system = tetragonal
1.0
-0.312 -1.537 3.045
3.311 -0.870 -0.100
2.068 7.412 3.953
As Sc Pb
1 1 2
Direct
0.500 0.500 0.750
0.500 0.500 0.250
0.000 0.000 0.997
0.000 0.000 0.503

=====

Record 2
CrAgP2 (PBE-GGA, relaxed); energy relative to the lowest polymorph listed for this composition = 114 meV/atom; theoretical density = 6.12 g/cm3; ΔE_f = 68 meV per atom; crystal system = monoclinic
1.0
4.090 0.002 0.001
2.957 2.825 0.001
0.733 0.294 5.212
P Cr Ag
2 1 1
Direct
0.525 0.525 0.418
0.975 0.975 0.082
0.250 0.250 0.250
0.750 0.750 0.750

=====

Record 3
Rb2LiInCl4 (PBE-GGA, relaxed); theoretical density = 2.82 g/cm3; crystal system = monoclinic; E_form (uncorrected) = -1.547 eV/atom
1.0
-4.601 -7.607 0.809
7.096 -4.218 3.398
-3.022 7.474 3.870
Cl In Rb Li
8 2 4 2
Direct
0.751 0.745 0.510
0.245 0.251 0.010
0.249 0.255 0.490
0.755 0.749 0.990
0.704 0.300 0.502
0.200 0.796 0.998
0.296 0.700 0.498
0.800 0.204 0.002
0.000 0.500 0.500
0.000 0.500 0.000
0.000 0.000 0.500
0.500 0.500 0.000
0.500 0.000 0.000
0.500 0.000 0.500
0.000 0.000 0.000
0.500 0.500 0.500

=====

Record 4
LaAg12Se7 (PBE-GGA, relaxed); theoretical density = 7.31 g/cm3; crystal system = trigonal; E_form (uncorrected) = -0.231 eV/atom
1.0
-8.156 4.895 3.264
0.552 -7.553 2.379
-0.676 0.496 7.894
Ag Se La
12 7 1
Direct
0.636 0.311 0.096
0.547 0.808 0.451
0.002 0.549 0.259
0.269 0.904 0.406
0.998 0.451 0.741
0.739 0.741 0.808
0.325 0.594 0.311
0.261 0.259 0.192
0.364 0.689 0.904
0.453 0.192 0.549
0.731 0.096 0.594
0.675 0.406 0.689
0.376 0.408 0.784
0.500 0.000 0.000
0.160 0.784 0.808
0.031 0.192 0.592
0.969 0.808 0.408
0.840 0.216 0.192
0.624 0.592 0.216
0.000 0.000 0.000

=====

Record 5
Ti4Ir3Ru (PBE-GGA, relaxed); theoretical density = 12.03 g/cm3; ΔE_f = -804 meV per atom; crystal system = monoclinic
1.0
4.358 -0.271 -1.103
-0.583 4.332 -1.085
-0.396 -0.451 6.645
Ir Ti Ru
3 4 1
Direct
0.751 0.251 0.501
0.249 0.749 0.499
0.000 0.500 0.000
0.624 0.624 0.248
0.124 0.124 0.248
0.876 0.876 0.752
0.376 0.376 0.752
0.500 0.000 0.000

=====

Record 6
Pm4SiRhCl2 (PBE-GGA, relaxed); theoretical density = 6.05 g/cm3; crystal system = monoclinic; E_form (uncorrected) = -1.115 eV/atom
1.0
-2.306 0.885 -3.242
0.075 -7.146 -2.006
-5.826 -3.303 3.242
Si Cl Pm Rh
1 2 4 1
Direct
0.000 0.500 0.500
0.000 0.000 0.000
0.500 0.000 0.500
0.000 0.712 0.770
0.500 0.716 0.252
0.500 0.284 0.748
0.000 0.288 0.230
0.500 0.500 0.000

=====

Record 7
PaBeOs2 (PBE-GGA, relaxed); energy relative to the lowest polymorph listed for this composition = 120 meV/atom; theoretical density = 13.68 g/cm3; ΔE_f = -25 meV per atom; crystal system = trigonal
1.0
-2.766 3.374 0.426
-2.380 0.435 3.655
1.589 3.744 3.218
Os Be Pa
2 1 1
Direct
0.186 0.186 0.443
0.814 0.814 0.557
0.500 0.500 0.500
0.000 0.000 0.000

=====

Record 8
La2CdSe (PBE-GGA, relaxed); energy relative to the lowest polymorph listed for this composition = 144 meV/atom; theoretical density = 7.02 g/cm3; crystal system = orthorhombic; E_form (uncorrected) = -0.909 eV/atom
1.0
5.502 -0.023 0.012
-0.739 5.452 0.012
-0.007 -0.007 3.705
Se La Cd
1 2 1
Direct
0.500 0.000 0.500
0.000 0.000 0.000
0.500 0.500 0.000
0.000 0.500 0.500

=====

no.,DOS(E_F) (states/eV/cell)
1,3.61
2,2.51
3,0.00
4,4.11
5,6.23
6,6.49
7,4.37
8,3.49